5
Lattice="-4.475 1.584 -0.052 -1.351 -3.732 2.604 0.862 2.573 4.135" Properties=species:S:1:pos:R:3 comment="P2HAuS | Alexandria | PBEsol | relaxed" m_tot_mub_per_atom=0.250 crystal_system=tetragonal dft_energy_ev_per_cell=-15.48 pbc="T T T"
P -0.676 -1.866 1.302
P -2.238 0.792 -0.026
S 0.431 1.286 2.067
Au 0.000 0.000 0.000
H -2.482 0.212 3.343